The following is a PBE calculation of a relaxed Ac2MoHN3 crystal, from Alexandria.

```
Ac2MoHN3
1.0
-1.909 2.048 6.747
1.909 -2.048 6.747
1.909 2.048 -6.747
Ac Mo H N
2 1 1 3
direct
0.147 0.147 0.000 Ac
0.853 0.853 0.000 Ac
0.500 0.500 0.000 Mo
0.500 0.000 0.500 H
0.000 0.500 0.500 N
0.344 0.344 0.000 N
0.656 0.656 0.000 N
```

Computed properties:
The total energy is -0.2800 hartree per atom. Its density of states at the Fermi level is 0.454 states/eV per atom.